DFT (PBE-GGA) results for a relaxed MgRePt2 crystal.

a = 4.790 Å, b = 4.790 Å, c = 4.790 Å
α = 130.49°, β = 130.51°, γ = 72.60°
Site moments in Bohr magnetons follow the coordinates.
Positions (direct):
Pt (0.500, 0.500, 0.000)  0.07
Pt (0.000, 0.000, 0.000)  0.07
Mg (0.250, 0.750, 0.500)  0.00
Re (0.750, 0.250, 0.500)  0.78

Its total energy is -6.6432 eV/atom. For the density of states at the Fermi level, the calculation gives 3.2 states/eV per cell. As for the formation energy: -112 meV per atom. The space-group type is I4/mmm (139).

DFT (PBE-GGA) results for a relaxed MgRePt crystal.

a = 4.851 Å, b = 4.851 Å, c = 4.851 Å
α = 147.23°, β = 130.33°, γ = 60.78°
Positions (direct):
Pt (0.334, 0.334, 0.000)
Mg (0.998, 0.998, 0.000)
Re (0.668, 0.668, 0.000)

Its total energy is -6.6269 eV/atom. For the density of states at the Fermi level, the calculation gives 2.1 states/eV per cell. As for the formation energy: 68 meV per atom. The space-group type is Imm2 (44). The calculation puts the energy relative to the lowest polymorph listed for this composition at 175 meV/atom.

> What is the formula in the second record?

MgRePt

> The lowest formation energy belongs to which entry?

MgRePt2

> What is the formula in the first record?

MgRePt2